Here is Al3TlGa after structural relaxation from the Alexandria database. Energies are from PBE.

a b c (Å): 4.966 4.966 4.966
angles (deg): 90.00 90.00 90.00
Positions (direct):
Al 0.000 0.000 0.500
Al 0.000 0.500 0.000
Al 0.500 0.000 0.000
Tl 0.500 0.500 0.500
Ga 0.000 0.000 0.000

Calculated values
Space group   No. 221
Polymorph energy (0 for the lowest one)   0.00 eV/f.u.
Energy of formation   0.486 eV/atom

---

Here is Ti2Cd2S after structural relaxation from the Alexandria database. Energies are from PBE.

a b c (Å): 6.258 6.258 4.875
angles (deg): 90.00 90.00 90.00
Positions (direct):
Ti 0.161 0.339 0.000
Ti 0.339 0.839 0.000
Ti 0.661 0.161 0.000
Ti 0.839 0.661 0.000
Cd 0.157 0.657 0.500
Cd 0.343 0.157 0.500
Cd 0.657 0.843 0.500
Cd 0.843 0.343 0.500
S 0.000 0.000 0.000
S 0.500 0.500 0.000

Calculated values
Space group   No. 127
Formation energy from raw total energies   -2.2 eV per formula unit

---

Here is Rb2ScAgI6 after structural relaxation from the Alexandria database. Energies are from PBE.

a b c (Å): 8.390 8.390 8.390
angles (deg): 60.00 60.00 60.00
Positions (direct):
Rb 0.250 0.250 0.250
Rb 0.750 0.750 0.750
Sc 0.000 0.000 0.000
Ag 0.500 0.500 0.500
I 0.244 0.244 0.756
I 0.244 0.756 0.244
I 0.244 0.756 0.756
I 0.756 0.244 0.244
I 0.756 0.244 0.756
I 0.756 0.756 0.244

Calculated values
Space group   No. 225
Formation energy from raw total energies   -11.0 eV per formula unit

---

Here is CdAsSe after structural relaxation from the Alexandria database. Energies are from PBE.

a b c (Å): 4.042 4.505 15.454
angles (deg): 90.00 90.00 90.00
Positions (direct):
Cd 0.000 0.000 0.000
Cd 0.000 0.500 0.500
Cd 0.500 0.000 0.500
Cd 0.500 0.500 0.000
As 0.000 0.000 0.637
As 0.000 0.500 0.137
As 0.500 0.000 0.137
As 0.500 0.500 0.637
Se 0.000 0.000 0.360
Se 0.000 0.500 0.860
Se 0.500 0.000 0.860
Se 0.500 0.500 0.360

Calculated values
Space group   No. 42
Polymorph energy (0 for the lowest one)   0.49 eV/f.u.
Formation energy from raw total energies   0.8 eV per formula unit

---

Question: Number 1 is which compound?
Answer: Al3TlGa

---

Question: Number 1 is which compound?
Answer: Al3TlGa